Model A:
Density functional theory data (PBE) for V2Mo2W3 after structural relaxation.

a b c (Å): 4.4278 5.1878 7.6526
angles (deg): 42.43 73.18 64.74
Last column: nearest neighbours and their distance in Å.
Sites, in units of the cell vectors:
W1 0.6455 0.1361 0.5729  3 Mo 2.68-2.72, 2 W 2.71-2.76, 3 V 2.71-2.72
W2 0.5000 0.0000 0.0000  2 V 2.70, 4 Mo 2.71, 2 W 2.71
W3 0.3545 0.8639 0.4271  3 Mo 2.68-2.72, 2 W 2.71-2.76, 3 V 2.71-2.72
Mo1 0.9282 0.4282 0.7153  2 V 2.68-2.72, 5 W 2.68-2.72, 1 Mo 2.72
Mo2 0.0718 0.5718 0.2847  2 V 2.68-2.72, 5 W 2.68-2.72, 1 Mo 2.72
V1 0.2145 0.7094 0.8616  2 Mo 2.68-2.72, 2 V 2.69, 4 W 2.70-2.72
V2 0.7855 0.2906 0.1384  2 Mo 2.68-2.72, 2 V 2.69, 4 W 2.70-2.72

Calculated values
DOS at the Fermi energy, states/eV/f.u.: 2.8

=====

Model B:
Density functional theory data (PBE) for V2Mo2W3 after structural relaxation.

a b c (Å): 3.1318 5.1986 6.9616
angles (deg): 97.42 90.01 107.43
Last column: nearest neighbours and their distance in Å.
Sites, in units of the cell vectors:
Mo1 0.4292 0.8587 0.2913  4 V 2.66-2.71, 4 W 2.71-2.73
Mo2 0.5708 0.1413 0.7087  4 V 2.66-2.71, 4 W 2.71-2.73
W1 0.7155 0.4313 0.1489  2 V 2.68-2.69, 2 Mo 2.71, 4 W 2.74-2.76
W2 0.2845 0.5687 0.8511  2 V 2.68-2.69, 2 Mo 2.71, 4 W 2.74-2.76
W3 0.0000 0.0000 0.0000  4 Mo 2.73, 4 W 2.74
V1 0.1426 0.2851 0.4306  4 Mo 2.66-2.71, 2 W 2.68-2.69, 2 V 2.71-2.72
V2 0.8574 0.7150 0.5694  4 Mo 2.66-2.71, 2 W 2.68-2.69, 2 V 2.71-2.72

Calculated values
DOS at the Fermi energy, states/eV/f.u.: 4.0

=====

Winner for stability: model A

=====

Model A:
Density functional theory data (PBE) for VMo2W after structural relaxation.

a b c (Å): 3.1320 4.4273 4.4273
angles (deg): 90.00 90.00 90.00
Last column: nearest neighbours and their distance in Å.
Sites, in units of the cell vectors:
Mo1 0.0000 0.0000 0.5000  4 W 2.71, 4 V 2.71
Mo2 0.0000 0.5000 0.0000  4 W 2.71, 4 V 2.71
W1 0.5000 0.0000 0.0000  8 Mo 2.71
V1 0.5000 0.5000 0.5000  8 Mo 2.71

Calculated values
DOS at the Fermi energy, states/eV/f.u.: 1.8

=====

Model B:
Density functional theory data (PBE) for VMo2W after structural relaxation.

a b c (Å): 4.4206 6.2534 9.4022
angles (deg): 109.37 90.00 90.00
Last column: nearest neighbours and their distance in Å.
Sites, in units of the cell vectors:
W1 0.7500 0.0616 0.6253  1 W 2.70, 3 V 2.71-2.73, 4 Mo 2.71-2.72
W2 0.7500 0.9384 0.8747  1 W 2.70, 3 V 2.71-2.73, 4 Mo 2.71-2.72
W3 0.2500 0.0616 0.1253  1 W 2.70, 3 V 2.71-2.73, 4 Mo 2.71-2.72
W4 0.2500 0.9384 0.3747  1 W 2.70, 3 V 2.71-2.73, 4 Mo 2.71-2.72
V1 0.7500 0.1872 0.3735  1 V 2.70, 4 Mo 2.70-2.72, 3 W 2.71-2.73
V2 0.2500 0.8128 0.6265  1 V 2.70, 4 Mo 2.70-2.72, 3 W 2.71-2.73
V3 0.7500 0.8129 0.1265  1 V 2.70, 4 Mo 2.70-2.72, 3 W 2.71-2.73
V4 0.2500 0.1871 0.8735  1 V 2.70, 4 Mo 2.70-2.72, 3 W 2.71-2.73
Mo1 0.2500 0.6888 0.8755  1 V 2.70, 4 Mo 2.70-2.73, 3 W 2.71
Mo2 0.2500 0.4372 0.3762  4 Mo 2.70-2.74, 3 V 2.70-2.72, 1 W 2.72
Mo3 0.7500 0.4372 0.8762  4 Mo 2.70-2.74, 3 V 2.70-2.72, 1 W 2.72
Mo4 0.7500 0.5628 0.6238  4 Mo 2.70-2.74, 3 V 2.70-2.72, 1 W 2.72
Mo5 0.7500 0.6888 0.3755  1 V 2.70, 4 Mo 2.70-2.73, 3 W 2.71
Mo6 0.2500 0.5628 0.1238  4 Mo 2.70-2.74, 3 V 2.70-2.72, 1 W 2.72
Mo7 0.2500 0.3112 0.6245  1 V 2.70, 4 Mo 2.70-2.73, 3 W 2.71
Mo8 0.7500 0.3112 0.1245  1 V 2.70, 4 Mo 2.70-2.73, 3 W 2.71

Calculated values
DOS at the Fermi energy, states/eV/f.u.: 2.5

=====

Model C:
Density functional theory data (PBE) for VMo2W after structural relaxation.

a b c (Å): 4.4243 4.4243 4.4243
angles (deg): 60.00 60.00 60.00
Last column: nearest neighbours and their distance in Å.
Sites, in units of the cell vectors:
W1 0.5000 0.5000 0.5000  8 Mo 2.71
Mo1 0.2500 0.2500 0.2500  4 W 2.71, 4 V 2.71
Mo2 0.7500 0.7500 0.7500  4 W 2.71, 4 V 2.71
V1 0.0000 0.0000 0.0000  8 Mo 2.71

Calculated values
DOS at the Fermi energy, states/eV/f.u.: 2.3

=====

Winner for stability: model C